Run 1
Entry from Alexandria: an optimized crystal structure of ZnIr2Cl (GGA-PBE).

Output
Its crystal system is tetragonal. The calculation puts the density at 13.616 g/cm³.

Cell lengths 4.460, 4.460, 2.975 Å; angles 90.00, 90.00, 90.00 degrees
Space group P4/mmm (No. 123)
Asymmetric unit:
Zn (0.000, 0.000, 0.000) x1
Ir (0.000, 0.500, 0.500) x2
Cl (0.500, 0.500, 0.000) x1


Run 2
Entry from Alexandria: an optimized crystal structure of ZnIr2Cl (GGA-PBE).

Output
Its crystal system is cubic. The calculation puts the density at 13.527 g/cm³.

Cell lengths 6.200, 6.200, 6.200 Å; angles 90.00, 90.00, 90.00 degrees
Space group Fm-3m (No. 225)
Asymmetric unit:
Zn (0.000, 0.000, 0.000) x4
Ir (0.250, 0.250, 0.250) x8
Cl (0.000, 0.000, 0.500) x4


Energies relative to the most stable structure are run 1 0; run 2 84, reported in meV per atom.